VASP calculation (PBE-GGA) on a relaxed HfZn3Bi crystal.

Unit cell a=5.162 b=5.162 c=5.162 alpha=90.00 beta=90.00 gamma=90.00
Sites, in units of the cell vectors:
Hf (0.000, 0.000, 0.000)
Zn (0.000, 0.000, 0.500)
Zn (0.000, 0.500, 0.000)
Zn (0.500, 0.000, 0.000)
Bi (0.500, 0.500, 0.500)

The excess energy over the best structure of this formula in the dataset comes out at 0.000 eV/atom. As for the formation energy: 0.811 eV/atom. The value obtained for the total energy is -2.720 eV per atom.